No. 1
Computed, not measured: an optimized crystal structure of Gd2AlCl at the PBE-GGA level of DFT. Values from VASP.

Quantum ESPRESSO input file:
```
&SYSTEM
  ibrav = 0, nat = 4, ntyp = 3
/
ATOMIC_SPECIES
Gd 157.25 Gd.upf
Al 26.98 Al.upf
Cl 35.45 Cl.upf
CELL_PARAMETERS angstrom
3.385 0.000 0.000
0.000 3.385 0.000
0.000 0.000 8.262
ATOMIC_POSITIONS angstrom
Gd 0.000 0.000 1.977
Gd 0.000 0.000 6.284
Al 1.693 1.693 0.000
Cl 1.693 1.693 4.131
```

Computed properties:
As for the calculated density: 6.6 g/cm³. For the calculated volume, the calculation gives 23.67 Å³ per atom. Its polymorph energy (0 for the lowest one) is 0.000 eV per atom. Its space-group type is No. 123.

No. 2
Computed, not measured: an optimized crystal structure of Co2HgGeSe at the PBE-GGA level of DFT. Values from VASP.

Quantum ESPRESSO input file:
```
&SYSTEM
  ibrav = 0, nat = 5, ntyp = 4
/
ATOMIC_SPECIES
Co 58.93 Co.upf
Hg 200.59 Hg.upf
Ge 72.64 Ge.upf
Se 78.96 Se.upf
CELL_PARAMETERS angstrom
4.388 0.000 0.000
0.000 4.388 0.000
0.000 0.000 5.356
ATOMIC_POSITIONS angstrom
Co 0.000 2.194 0.000
Co 2.194 0.000 0.000
Hg 0.000 0.000 2.678
Ge 2.194 2.194 2.678
Se 2.194 2.194 0.000
```

Computed properties:
As for the calculated density: 7.6 g/cm³. For the calculated volume, the calculation gives 20.62 Å³ per atom. Its space-group type is No. 123.

No. 3
Computed, not measured: an optimized crystal structure of Dy6InSe5 at the PBE-GGA level of DFT. Values from VASP.

Quantum ESPRESSO input file:
```
&SYSTEM
  ibrav = 0, nat = 12, ntyp = 3
/
ATOMIC_SPECIES
Dy 162.50 Dy.upf
In 114.82 In.upf
Se 78.96 Se.upf
CELL_PARAMETERS angstrom
3.591 -6.192 0.000
3.591 6.192 0.000
-2.361 0.000 6.753
ATOMIC_POSITIONS angstrom
Dy 0.013 2.092 5.046
Dy 1.174 0.000 1.692
Dy 0.013 -2.092 5.046
Dy 4.807 2.092 1.707
Dy 3.646 0.000 5.061
Dy 4.807 -2.092 1.707
In 3.591 0.000 0.000
Se -1.181 0.000 3.376
Se 3.591 4.125 0.000
Se 2.410 2.051 3.376
Se 2.410 -2.051 3.376
Se 3.591 -4.125 0.000
```

Computed properties:
As for the calculated density: 8.2 g/cm³. For the calculated volume, the calculation gives 25.02 Å³ per atom. Its space-group type is No. 12.

Energy relative to the elements, uncorrected / eV/atom: -0.82 0.67 -1.52